Entry 1:
The following is a DFT calculation (PBE) of Ag5Se2Cl2 after structural relaxation.

POSCAR file:
```
Ag5Se2Cl2
1.0
-1.643 4.238 -1.376
-5.250 -2.795 -2.340
0.440 0.361 8.778
Ag Se Cl
5 2 2
direct
0.593 0.902 0.185
0.407 0.098 0.815
0.776 0.265 0.553
0.224 0.735 0.447
0.000 0.000 0.000
0.927 0.275 0.853
0.073 0.725 0.147
0.652 0.367 0.304
0.348 0.633 0.696
```

Computed properties:
Symmetry: C2/m (12)
Total moment, μB per atom: 0.00
Relative energy among the computed polymorphs, meV per atom: 35.5
Uncorrected formation energy, kJ/mol of formula units: -112

---

Entry 2:
The following is a DFT calculation (PBE) of Ac2NdSm5Er after structural relaxation.

POSCAR file:
```
Ac2NdSm5Er
1.0
5.836 0.000 0.000
-2.918 10.236 0.000
0.000 0.000 10.949
Ac Nd Sm Er
4 2 10 2
direct
0.883 0.767 0.818
0.114 0.227 0.731
0.117 0.233 0.318
0.886 0.773 0.231
0.589 0.178 0.964
0.411 0.822 0.464
0.386 0.773 0.020
0.718 0.436 0.812
0.483 0.965 0.741
0.296 0.592 0.705
0.981 0.962 0.522
0.614 0.227 0.520
0.282 0.564 0.312
0.517 0.035 0.241
0.704 0.408 0.205
0.019 0.038 0.022
0.795 0.589 0.510
0.205 0.411 0.010
```

Computed properties:
Symmetry: Cmc2_1 (36)
Electronic total energy, Ry/atom: -0.32543
Total moment, μB per atom: 0.00

---

Entry 3:
The following is a DFT calculation (PBE) of LiSbRh2 after structural relaxation.

POSCAR file:
```
LiSbRh2
1.0
0.186 -3.436 -2.701
-3.667 -1.579 -1.786
-0.757 0.535 -4.275
Sb Rh Li
1 2 1
direct
0.500 0.500 0.500
0.250 0.250 0.250
0.750 0.750 0.750
0.000 0.000 0.000
```

Computed properties:
Symmetry: Fm-3m (225)
Total moment, μB per atom: 0.00
Uncorrected formation energy, kJ/mol of formula units: -230